1.
# PBE-GGA TiNi3N, relaxed
# formation energy without anion corrections	-0.4	eV/f.u.
# E	-33.99	eV for the cell shown
# excess energy over the best structure of this formula in the dataset	0.0000	eV per atom
# M_tot	0.0	μB/cell
data_TiNi3N
_cell_length_a 3.810
_cell_length_b 3.810
_cell_length_c 3.810
_cell_angle_alpha 90.00
_cell_angle_beta 90.00
_cell_angle_gamma 90.00
_symmetry_space_group_name_H-M 'P m -3 m'
_symmetry_Int_Tables_number 221
_symmetry_space_group_name_Hall '-P 4 2 3'
loop_
_atom_site_label
_atom_site_type_symbol
_atom_site_fract_x
_atom_site_fract_y
_atom_site_fract_z
Ti1 Ti 0.000 0.000 0.000
Ni1 Ni 0.000 0.500 0.500
N1 N 0.500 0.500 0.500


2.
# PBE-GGA Pm5ScPb6, relaxed
# DFT formation energy	-0.47	eV/atom
# E	-115.86	eV for the cell shown
# excess energy over the best structure of this formula in the dataset	0.0000	eV per atom
# M_tot	0.0	μB/cell
data_Pm5ScPb6
_cell_length_a 5.964
_cell_length_b 14.490
_cell_length_c 8.650
_cell_angle_alpha 90.00
_cell_angle_beta 102.70
_cell_angle_gamma 90.00
_symmetry_space_group_name_H-M 'C 1 2/m 1'
_symmetry_Int_Tables_number 12
loop_
_symmetry_equiv_pos_as_xyz
'x,y,z'
'-x,-y,-z'
'-x,y,-z'
'x,-y,z'
'x+1/2,y+1/2,z'
'-x+1/2,-y+1/2,-z'
'-x+1/2,y+1/2,-z'
'x+1/2,-y+1/2,z'
loop_
_atom_site_label
_atom_site_type_symbol
_atom_site_fract_x
_atom_site_fract_y
_atom_site_fract_z
Pm1 Pm 0.000 0.000 0.000
Pm2 Pm 0.000 0.325 0.000
Pm3 Pm 0.000 0.342 0.500
Sc1 Sc 0.000 0.000 0.500
Pb1 Pb 0.009 0.162 0.738
Pb2 Pb 0.040 0.500 0.244


3.
# PBE-GGA Al2HSe, relaxed
# E	-51.45	eV for the cell shown
# excess energy over the best structure of this formula in the dataset	0.2709	eV per atom
# M_tot	0.0	μB/cell
data_Al2HSe
_cell_length_a 6.385
_cell_length_b 6.385
_cell_length_c 6.385
_cell_angle_alpha 90.00
_cell_angle_beta 90.00
_cell_angle_gamma 90.00
_symmetry_space_group_name_H-M 'F m -3 m'
_symmetry_Int_Tables_number 225
_symmetry_space_group_name_Hall '-F 4 2 3'
loop_
_atom_site_label
_atom_site_type_symbol
_atom_site_fract_x
_atom_site_fract_y
_atom_site_fract_z
Al1 Al 0.250 0.250 0.250
H1 H 0.000 0.000 0.000
Se1 Se 0.000 0.000 0.500


4.
# PBE-GGA PW3Br, relaxed
# formation energy without anion corrections	7.4	eV/f.u.
# E	-38.57	eV for the cell shown
# excess energy over the best structure of this formula in the dataset	0.0000	eV per atom
# M_tot	0.0	μB/cell
data_PW3Br
_cell_length_a 4.539
_cell_length_b 4.539
_cell_length_c 4.539
_cell_angle_alpha 90.00
_cell_angle_beta 90.00
_cell_angle_gamma 90.00
_symmetry_space_group_name_H-M 'P m -3 m'
_symmetry_Int_Tables_number 221
_symmetry_space_group_name_Hall '-P 4 2 3'
loop_
_atom_site_label
_atom_site_type_symbol
_atom_site_fract_x
_atom_site_fract_y
_atom_site_fract_z
P1 P 0.000 0.000 0.000
W1 W 0.000 0.000 0.500
Br1 Br 0.500 0.500 0.500